Below is Re2TeRu at its PBEsol-relaxed geometry, with properties calculated at the meta-GGA SCAN level.

The volume comes out at 63 Å³/f.u. The energy relative to the elements, uncorrected is 0.660 eV/atom. Its density of states at the Fermi level is 6.08 states/eV per cell.

The space group is Immm (No. 71) and the conventional cell measures 3.053, 4.446 and 9.286 Å, with angles of 90.00, 90.00 and 90.00 degrees. The asymmetric unit holds Re at (0.000, 0.000, 0.226), Te at (0.000, 0.500, 0.500) and Ru at (0.000, 0.500, 0.000).

=====

Below is ReTe2Ru at its PBEsol-relaxed geometry, with properties calculated at the meta-GGA SCAN level.

The volume comes out at 74 Å³/f.u. The energy relative to the elements, uncorrected is 0.775 eV/atom. Its density of states at the Fermi level is 6.27 states/eV per cell.

The space group is Imm2 (No. 44) and the conventional cell measures 3.042, 4.704 and 10.289 Å, with angles of 90.00, 90.00 and 90.00 degrees. The asymmetric unit holds Re at (0.000, 0.000, 0.000), Te at (0.000, 0.000, 0.544), Te at (0.000, 0.500, 0.749) and Ru at (0.000, 0.500, 0.286).

=====

Below is ReTe2Ru at its PBEsol-relaxed geometry, with properties calculated at the meta-GGA SCAN level.

The volume comes out at 74 Å³/f.u. The energy relative to the elements, uncorrected is 1.134 eV/atom. Its density of states at the Fermi level is 9.32 states/eV per cell.

The space group is Immm (No. 71) and the conventional cell measures 3.179, 5.358 and 8.705 Å, with angles of 90.00, 90.00 and 90.00 degrees. The asymmetric unit holds Re at (0.000, 0.000, 0.000), Te at (0.000, 0.500, 0.245) and Ru at (0.000, 0.000, 0.500).

=====

Below is Re2TeRu at its PBEsol-relaxed geometry, with properties calculated at the meta-GGA SCAN level.

The volume comes out at 62 Å³/f.u. The energy relative to the elements, uncorrected is 0.727 eV/atom. Its density of states at the Fermi level is 3.68 states/eV per cell.

The space group is P4/mmm (No. 123) and the conventional cell measures 3.019, 3.019 and 6.847 Å, with angles of 90.00, 90.00 and 90.00 degrees. The asymmetric unit holds Re at (0.000, 0.000, 0.246), Te at (0.500, 0.500, 0.500) and Ru at (0.500, 0.500, 0.000).

=====

Below is TiReRu3 at its PBEsol-relaxed geometry, with properties calculated at the meta-GGA SCAN level.

The volume comes out at 82 Å³/f.u. The value obtained for the formation energy is 1.582 eV per atom. Its density of states at the Fermi level is 4.56 states/eV per cell.

The space group is Pm-3m (No. 221) and the conventional cell measures 4.343, 4.343 and 4.343 Å, with angles of 90.00, 90.00 and 90.00 degrees. The asymmetric unit holds Ti at (0.000, 0.000, 0.000), Re at (0.500, 0.500, 0.500) and Ru at (0.000, 0.000, 0.500).

=====

Below is Ti2ReRu at its PBEsol-relaxed geometry, with properties calculated at the meta-GGA SCAN level.

The volume comes out at 58 Å³/f.u. The value obtained for the formation energy is -0.707 eV per atom. Its density of states at the Fermi level is 13.12 states/eV per cell.

The space group is Fm-3m (No. 225) and the conventional cell measures 6.127, 6.127 and 6.127 Å, with angles of 90.00, 90.00 and 90.00 degrees. The asymmetric unit holds Ti at (0.250, 0.250, 0.250), Re at (0.000, 0.000, 0.000) and Ru at (0.000, 0.000, 0.500).

=====

Below is TlReRu2 at its PBEsol-relaxed geometry, with properties calculated at the meta-GGA SCAN level.

The volume comes out at 62 Å³/f.u. The value obtained for the formation energy is 0.595 eV per atom. Its density of states at the Fermi level is 8.45 states/eV per cell.

The space group is Cm (No. 8) and the conventional cell measures 9.263, 2.855 and 4.794 Å, with angles of 90.00, 101.33 and 90.00 degrees. The asymmetric unit holds Tl at (0.000, 0.000, 0.000), Re at (0.234, 0.000, 0.682), Ru at (0.260, 0.500, 0.240) and Ru at (0.498, 0.000, 0.507).

=====

Below is TlReRu2 at its PBEsol-relaxed geometry, with properties calculated at the meta-GGA SCAN level.

The volume comes out at 62 Å³/f.u. The value obtained for the formation energy is 0.316 eV per atom. Its density of states at the Fermi level is 2.60 states/eV per cell.

The space group is P4/mmm (No. 123) and the conventional cell measures 2.847, 2.847 and 7.661 Å, with angles of 90.00, 90.00 and 90.00 degrees. The asymmetric unit holds Tl at (0.000, 0.000, 0.000), Re at (0.000, 0.000, 0.500) and Ru at (0.500, 0.500, 0.277).